(1)
DFT (PBE) results for crystalline Rb2NaClF6 at its relaxed geometry.

SG = I4/mmm, No. 139

Cell: 6.5184 6.5184 6.1793 Å, 58.17 58.17 90.00°
Positions (direct):
Rb1 0.2500 0.7500 0.5000
Rb2 0.7500 0.2500 0.5000
F1 0.7443 0.2557 0.0000
F2 0.2557 0.7443 0.0000
F3 0.7823 0.7823 0.4355
F4 0.7443 0.7443 0.0000
F5 0.2177 0.2177 0.5645
F6 0.2557 0.2557 0.0000
Na1 0.5000 0.5000 0.0000
Cl1 0.0000 0.0000 0.0000

---

(2)
DFT (PBE) results for crystalline Na2ReCl2F4 at its relaxed geometry.

SG = C2/m, No. 12

Cell: 4.8983 6.4428 6.4428 Å, 52.40 96.99 96.99°
Positions (direct):
Na1 0.1585 0.6220 0.6220
Na2 0.8415 0.3780 0.3780
F1 0.2376 0.2067 0.6909
F2 0.7624 0.3091 0.7933
F3 0.2376 0.6909 0.2067
F4 0.7624 0.7933 0.3091
Re1 0.5000 0.0000 0.0000
Cl1 0.3433 0.1855 0.1855
Cl2 0.6567 0.8145 0.8145

---

(3)
DFT (PBE) results for crystalline NaReCl2F6 at its relaxed geometry.

SG = C2/m, No. 12

Cell: 6.8173 5.2195 5.7866 Å, 116.81 96.94 90.00°
Positions (direct):
F1 0.0471 0.6813 0.3625
F2 0.8010 0.7563 0.0134
F3 0.1990 0.2437 0.9866
F4 0.1990 0.7429 0.9866
F5 0.9529 0.3187 0.6375
F6 0.8010 0.2571 0.0134
Cl1 0.4904 0.2569 0.5137
Cl2 0.5096 0.7431 0.4863
Re1 0.0000 0.5000 0.0000
Na1 0.5000 0.0000 0.0000

---

(4)
DFT (PBE) results for crystalline Na3RuCl2F6 at its relaxed geometry.

SG = C2/m, No. 12

Cell: 4.6263 6.9733 7.6534 Å, 117.10 88.83 90.00°
Positions (direct):
Na1 0.5000 0.5000 0.5000
Na2 0.5000 0.0000 0.5000
Na3 0.0000 0.5000 0.0000
F1 0.2608 0.1491 0.9014
F2 0.7392 0.2476 0.0986
F3 0.6866 0.8736 0.7471
F4 0.7392 0.8509 0.0986
F5 0.3134 0.1264 0.2529
F6 0.2608 0.7524 0.9014
Cl1 0.1141 0.6883 0.3767
Cl2 0.8859 0.3117 0.6233
Ru1 0.5000 0.0000 0.0000

---

Number 1: raw formation energy -1.8194 eV/atom, size of the total moment 2.0 μB/f.u.. Number 2: raw formation energy -1.9490 eV/atom, size of the total moment 3.0 μB/f.u.. Number 3: raw formation energy -1.8140 eV/atom, size of the total moment 1.2 μB/f.u.. Number 4: raw formation energy -1.9230 eV/atom, size of the total moment 3.1 μB/f.u..